Entry from Alexandria: crystalline SrY2Cu at its relaxed geometry (PBE-GGA).

CIF file:
```
data_SrY2Cu
_chemical_formula_sum 'Sr1 Y2 Cu1'
_cell_length_a 3.9783
_cell_length_b 4.6902
_cell_length_c 6.8678
_cell_angle_alpha 90.00
_cell_angle_beta 105.87
_cell_angle_gamma 90.00
_symmetry_space_group_name_H-M 'P 1 2/m 1'
_symmetry_Int_Tables_number 10
loop_
_symmetry_equiv_pos_as_xyz
'x,y,z'
'-x,-y,-z'
'-x,y,-z'
'x,-y,z'
loop_
_atom_site_label
_atom_site_type_symbol
_atom_site_fract_x
_atom_site_fract_y
_atom_site_fract_z
Sr1 Sr 0.0000 0.0000 0.0000
Y1 Y 0.3603 0.5000 0.7031
Cu1 Cu 0.0000 0.0000 0.5000
```

Summary:
Excess energy over the best structure of this formula in the dataset = 195 meV per atom
Formation enthalpy at 0 K = 0.2026 eV/atom
Energy = -0.16441 Ha/atom